[1]
Density functional theory data (PBE-GGA) for an optimized crystal structure of Sm7TmIn2.

Unit cell a=9.2041 b=9.2041 c=5.3618 alpha=90.00 beta=90.00 gamma=119.55
Element x y z (fractional)
Sm  0.0000  0.0000  0.0000
Sm  0.1989  0.4381  0.0000
Sm  0.2773  0.7227  0.5000
Sm  0.4381  0.1989  0.0000
Sm  0.5619  0.8011  0.0000
Sm  0.7227  0.2773  0.5000
Sm  0.8011  0.5619  0.0000
Tm  0.5000  0.5000  0.5000
In  0.1954  0.8046  0.0000
In  0.8046  0.1954  0.0000

Output
* calculated density: 6.10 g cm⁻³
* energy: -39.6 eV for the cell shown
* calculated formation energy: 0.3334 eV per atom

=====

[2]
Density functional theory data (PBE-GGA) for an optimized crystal structure of Sm2Tm3In2.

Unit cell a=12.6721 b=3.7794 c=8.6128 alpha=90.00 beta=98.43 gamma=90.00
Element x y z (fractional)
Sm  0.1309  0.0000  0.4354
Sm  0.3691  0.5000  0.5646
Sm  0.6309  0.5000  0.4354
Sm  0.8691  0.0000  0.5646
Tm  0.0000  0.0000  0.0000
Tm  0.2361  0.5000  0.1554
Tm  0.2639  0.0000  0.8446
Tm  0.5000  0.5000  0.0000
Tm  0.7361  0.0000  0.1554
Tm  0.7639  0.5000  0.8446
In  0.0661  0.5000  0.7373
In  0.4339  0.0000  0.2627
In  0.5661  0.0000  0.7373
In  0.9339  0.5000  0.2627

Output
* calculated density: 8.44 g cm⁻³
* energy: -60.4 eV for the cell shown
* calculated formation energy: -0.2675 eV per atom

=====

[3]
Density functional theory data (PBE-GGA) for an optimized crystal structure of Sm2Tm3In.

Unit cell a=8.1839 b=8.1839 c=6.2800 alpha=90.00 beta=90.00 gamma=113.69
Element x y z (fractional)
Sm  0.0005  0.6073  0.5000
Sm  0.3927  0.9995  0.5000
Sm  0.6073  0.0005  0.0000
Sm  0.9995  0.3927  0.0000
Tm  0.1371  0.2489  0.5359
Tm  0.2489  0.1371  0.0359
Tm  0.4100  0.5900  0.2356
Tm  0.5900  0.4100  0.7356
Tm  0.7511  0.8629  0.5359
Tm  0.8629  0.7511  0.0359
In  0.3657  0.6343  0.7466
In  0.6343  0.3657  0.2466

Output
* calculated density: 7.95 g cm⁻³
* energy: -50.5 eV for the cell shown
* calculated formation energy: 0.0533 eV per atom

=====

[4]
Density functional theory data (PBE-GGA) for an optimized crystal structure of Sm3Tm5In.

Unit cell a=7.7000 b=7.7000 c=11.1496 alpha=90.08 beta=90.08 gamma=93.34
Element x y z (fractional)
Sm  0.0000  0.0000  0.0000
Sm  0.0000  0.0000  0.5000
Sm  0.1560  0.1560  0.2577
Sm  0.3280  0.3280  0.5056
Sm  0.6720  0.6720  0.4944
Sm  0.8440  0.8440  0.7423
Tm  0.0000  0.4823  0.8021
Tm  0.0000  0.5177  0.1979
Tm  0.2841  0.7159  0.0000
Tm  0.2961  0.2961  0.9967
Tm  0.4823  0.0000  0.8021
Tm  0.4954  0.4954  0.2262
Tm  0.5046  0.5046  0.7738
Tm  0.5177  0.0000  0.1979
Tm  0.7039  0.7039  0.0033
Tm  0.7159  0.2841  0.0000
In  0.1463  0.1463  0.7418
In  0.8537  0.8537  0.2582

Output
* calculated density: 7.10 g cm⁻³
* energy: -71.2 eV for the cell shown
* calculated formation energy: 0.4070 eV per atom